BaCa2SCl after structural relaxation, computed with PBE-GGA.

## Properties
* symmetry: P4/mmm, No. 123
* E: -15.26 eV/f.u.
* raw formation energy: -0.672 eV/atom
* DOS at the Fermi energy: 5.2 states/eV/f.u.
* crystal system: tetragonal

Lattice parameters (Å, degrees): 5.185 6.521 5.185 90.00 90.00 90.00
Site moments in Bohr magnetons follow the coordinates.
Fractional coordinates of all 5 atoms:
S: 0.500 0.500 0.500  -0.04
Cl: 0.000 0.000 0.000  -0.01
Ca: 0.500 0.000 0.000  0.13
Ba: 0.000 0.500 0.000  0.19
Ca: 0.000 0.000 0.500  0.21

***

BaCaSbCl after structural relaxation, computed with PBE-GGA.

## Properties
* symmetry: F-43m, No. 216
* E: -15.54 eV/f.u.
* raw formation energy: -1.412 eV/atom
* crystal system: cubic

Lattice parameters (Å, degrees): 5.651 5.651 5.651 60.00 60.00 60.00
Fractional coordinates of all 4 atoms:
Sb: 0.000 0.000 0.000
Ca: 0.750 0.750 0.750
Cl: 0.500 0.500 0.500
Ba: 0.250 0.250 0.250